SrAsIrO | PBE | optimized geometry

Summary:
**Calculated density**: 8.69 g/cm3
**DFT total energy**: -48.0 eV for the cell shown
**Magnetic moment**: 0.06 μB per cell
**Energy relative to the lowest polymorph listed for this composition**: 1.297 eV/f.u.

a = 4.165 Å, b = 4.453 Å, c = 7.636 Å
α = 90.00°, β = 90.00°, γ = 90.00°
Fractional coordinates of all 8 atoms:
O (0.500, 0.786, 0.427)
O (0.500, 0.214, 0.927)
As (0.000, 0.251, 0.274)
As (0.000, 0.749, 0.774)
Sr (0.500, 0.246, 0.605)
Sr (0.500, 0.754, 0.105)
Ir (0.000, 0.716, 0.448)
Ir (0.000, 0.284, 0.948)